Compound: PdWO2F
Source: the Alexandria database
Functional: PBE+U
Structure: relaxed

abc: 4.0084 4.0084 4.2064
angles: 90.00 90.00 90.00
Site moments in Bohr magnetons follow the coordinates.
Sites, in units of the cell vectors:
O  0.0000  0.5000  0.0000  -0.10
F  0.0000  0.0000  0.5000  0.03
O  0.5000  0.0000  0.0000  -0.10
W  0.0000  0.0000  0.0000  1.68
Pd  0.5000  0.5000  0.5000  -0.51

## Properties
As for the space group: P4/mmm. The calculation puts the uncorrected energy at -29.84 eV per formula unit.